Entry from Alexandria: Rb2NaC2O6 after structural relaxation (PBE).

Cell lengths 5.688, 5.707, 7.009 Å; angles 113.93, 90.00, 119.89 degrees
Each line ends with the local moment (μB).
Sites, in units of the cell vectors:
O: 0.780 0.561 0.724  0.14
O: 0.218 0.041 0.266  0.14
O: 0.823 0.041 0.266  0.14
O: 0.220 0.439 0.276  0.14
O: 0.177 0.959 0.734  0.14
O: 0.782 0.959 0.734  0.14
C: 0.913 0.826 0.730  -0.01
C: 0.087 0.174 0.270  -0.01
Na: 0.500 0.000 0.500  0.00
Rb: 0.714 0.428 0.148  0.00
Rb: 0.286 0.572 0.852  0.00

Uncorrected energy, eV per atom: -6.290
Space-group type: C2/m, No. 12
Density, Mg/m³: 2.99


Entry from Alexandria: RbNaCO3 after structural relaxation (PBE).

Cell lengths 5.698, 5.698, 6.283 Å; angles 90.00, 90.00, 120.00 degrees
Sites, in units of the cell vectors:
O: 0.402 0.201 0.750
O: 0.598 0.799 0.250
O: 0.201 0.402 0.250
O: 0.799 0.598 0.750
O: 0.799 0.201 0.750
O: 0.201 0.799 0.250
C: 0.667 0.333 0.750
C: 0.333 0.667 0.250
Na: 0.000 0.000 0.500
Na: 0.000 0.000 0.000
Rb: 0.667 0.333 0.250
Rb: 0.333 0.667 0.750

Uncorrected energy, eV per atom: -6.118
Space-group type: P6_3/mmc, No. 194
Density, Mg/m³: 3.17


Question: The highest density belongs to which entry?
Answer: RbNaCO3